No. 1
Li3In2Au7 | Alexandria | GGA-PBE | relaxed; spin magnetization = 0.0 μB per formula unit; VASP energy = -38.07 eV/f.u.; space group = P-1, No. 2; DOS(E_F) = 0.28 states/eV per atom; formation energy from the elements = -0.326 eV/atom; ΔE to the lowest computed polymorph = 0 meV/atom
1.0
4.837 0.000 0.000
1.147 4.762 0.000
0.919 2.264 10.275
Li In Au
3 2 7
direct
0.000 0.000 0.000
0.483 0.366 0.285
0.517 0.634 0.715
0.025 0.143 0.703
0.975 0.857 0.297
0.010 0.570 0.855
0.017 0.711 0.571
0.488 0.928 0.151
0.500 0.500 0.000
0.512 0.072 0.849
0.983 0.289 0.429
0.990 0.430 0.145

=====

No. 2
BeAl2Tl | Alexandria | GGA-PBE | relaxed; spin magnetization = 0.0 μB per formula unit; VASP energy = -11.96 eV/f.u.; space group = P2/m, No. 10; DOS(E_F) = 0.38 states/eV per atom; formation energy from the elements = 0.403 eV/atom; ΔE to the lowest computed polymorph = 71 meV/atom
1.0
4.240 0.000 0.000
0.000 4.096 0.000
-1.737 0.000 4.565
Be Al Tl
1 2 1
direct
0.000 0.000 0.000
0.153 0.500 0.805
0.847 0.500 0.195
0.500 0.000 0.500

=====

No. 3
ZrH3NF4 | Alexandria | GGA-PBE | relaxed; spin magnetization = 0.0 μB per formula unit; VASP energy = -54.71 eV/f.u.; space group = P-1, No. 2; DOS(E_F) = 0.00 states/eV per atom
1.0
6.190 0.000 0.000
-2.472 7.840 0.000
-2.098 -3.229 7.719
Zr H N F
4 12 4 16
direct
0.224 0.292 0.370
0.242 0.787 0.339
0.758 0.213 0.661
0.776 0.708 0.630
0.184 0.293 0.950
0.192 0.981 0.928
0.207 0.492 0.935
0.230 0.788 0.894
0.279 0.346 0.800
0.299 0.907 0.774
0.701 0.093 0.226
0.721 0.654 0.200
0.770 0.212 0.106
0.793 0.508 0.065
0.808 0.019 0.072
0.816 0.707 0.050
0.160 0.355 0.863
0.177 0.866 0.832
0.823 0.134 0.168
0.840 0.645 0.137
0.008 0.722 0.482
0.113 0.997 0.328
0.136 0.490 0.279
0.259 0.194 0.138
0.285 0.731 0.110
0.397 0.564 0.589
0.433 0.265 0.595
0.443 0.959 0.613
0.557 0.041 0.387
0.567 0.735 0.405
0.603 0.436 0.411
0.715 0.269 0.890
0.741 0.806 0.862
0.864 0.510 0.721
0.887 0.003 0.672
0.992 0.278 0.518

=====

No. 4
AsOsN2 | Alexandria | GGA-PBE | relaxed; spin magnetization = 0.0 μB per formula unit; VASP energy = -28.95 eV/f.u.; energy relative to the elements, uncorrected = 0.89 eV/atom; space group = I-42d, No. 122; DOS(E_F) = 0.58 states/eV per atom
1.0
-2.507 2.507 4.452
2.507 -2.507 4.452
2.507 2.507 -4.452
As Os N
2 2 4
direct
0.000 0.000 0.000
0.750 0.250 0.500
0.250 0.750 0.500
0.500 0.500 0.000
0.180 0.625 0.055
0.375 0.430 0.555
0.570 0.125 0.945
0.875 0.820 0.445

=====

No. 5
PmZrTaIr2 | Alexandria | GGA-PBE | relaxed; spin magnetization = 0.0 μB per formula unit; VASP energy = -46.26 eV/f.u.; space group = I-4m2, No. 119; DOS(E_F) = 0.65 states/eV per atom; formation energy from the elements = -0.677 eV/atom
1.0
-2.254 2.254 5.356
2.254 -2.254 5.356
2.254 2.254 -5.356
Pm Zr Ta Ir
1 1 1 2
direct
0.000 0.000 0.000
0.750 0.250 0.500
0.250 0.750 0.500
0.378 0.378 0.000
0.622 0.622 0.000

=====

No. 6
Pr3Sm5Te8 | Alexandria | GGA-PBE | relaxed; spin magnetization = 0.0 μB per formula unit; VASP energy = -85.46 eV/f.u.; energy relative to the elements, uncorrected = -1.40 eV/atom; space group = R-3m, No. 166; DOS(E_F) = 0.77 states/eV per atom
1.0
4.475 2.584 7.323
-4.475 2.584 7.323
0.000 -5.167 7.323
Pr Sm Te
3 5 8
direct
0.000 0.500 0.500
0.500 0.000 0.500
0.500 0.500 0.000
0.000 0.000 0.000
0.000 0.000 0.500
0.000 0.500 0.000
0.500 0.000 0.000
0.500 0.500 0.500
0.245 0.750 0.750
0.248 0.248 0.248
0.250 0.250 0.755
0.250 0.755 0.250
0.750 0.245 0.750
0.750 0.750 0.245
0.752 0.752 0.752
0.755 0.250 0.250

=====

No. 7
TbAlHg | Alexandria | GGA-PBE | relaxed; spin magnetization = 0.0 μB per formula unit; VASP energy = -10.08 eV/f.u.; space group = P-6m2, No. 187; DOS(E_F) = 0.49 states/eV per atom; formation energy from the elements = -0.469 eV/atom; ΔE to the lowest computed polymorph = 0 meV/atom
1.0
4.659 0.000 0.000
-2.329 4.035 0.000
0.000 0.000 3.634
Tb Al Hg
1 1 1
direct
0.000 0.000 0.000
0.667 0.333 0.500
0.333 0.667 0.500

=====

No. 8
Ir2Rh | Alexandria | GGA-PBE | relaxed; spin magnetization = 0.0 μB per formula unit; VASP energy = -24.66 eV/f.u.; space group = P-62m, No. 189; DOS(E_F) = 1.26 states/eV per atom; formation energy from the elements = 0.139 eV/atom; ΔE to the lowest computed polymorph = 155 meV/atom
1.0
7.457 0.000 0.000
-3.729 6.458 0.000
0.000 0.000 2.719
Ir Rh
6 3
direct
0.000 0.302 0.000
0.000 0.638 0.500
0.302 0.000 0.000
0.362 0.362 0.500
0.638 0.000 0.500
0.698 0.698 0.000
0.000 0.000 0.500
0.333 0.667 0.000
0.667 0.333 0.000